Entry 1:
First-principles (PBE) data for a geometry-optimized LuZrSb structure, as listed in OQMD.

Computed properties:
* symmetry: No. 216

CIF file:
```
data_LuZrSb
_chemical_formula_sum 'Lu1 Zr1 Sb1'
_symmetry_space_group_name_H-M 'P 1'
_symmetry_Int_Tables_number 1
_cell_length_a 4.866
_cell_length_b 4.866
_cell_length_c 4.866
_cell_angle_alpha 60.00
_cell_angle_beta 60.00
_cell_angle_gamma 60.00
loop_
_symmetry_equiv_pos_as_xyz
'x,y,z'
loop_
_atom_site_label
_atom_site_fract_x
_atom_site_fract_y
_atom_site_fract_z
Sb1 0.000 0.000 0.000
Lu1 0.250 0.250 0.250
Zr1 0.750 0.750 0.750
```

Entry 2:
First-principles (PBE) data for a geometry-optimized LuSc structure, as listed in OQMD.

Computed properties:
* symmetry: No. 225

CIF file:
```
data_LuSc
_chemical_formula_sum 'Lu1 Sc1'
_symmetry_space_group_name_H-M 'P 1'
_symmetry_Int_Tables_number 1
_cell_length_a 4.312
_cell_length_b 4.312
_cell_length_c 4.312
_cell_angle_alpha 60.00
_cell_angle_beta 60.00
_cell_angle_gamma 60.00
loop_
_symmetry_equiv_pos_as_xyz
'x,y,z'
loop_
_atom_site_label
_atom_site_fract_x
_atom_site_fract_y
_atom_site_fract_z
Lu1 0.000 0.000 0.000
Sc1 0.500 0.500 0.500
```

Entry 3:
First-principles (PBE) data for a geometry-optimized LuSc structure, as listed in OQMD.

Computed properties:
* symmetry: No. 216

CIF file:
```
data_LuSc
_chemical_formula_sum 'Lu1 Sc1'
_symmetry_space_group_name_H-M 'P 1'
_symmetry_Int_Tables_number 1
_cell_length_a 4.616
_cell_length_b 4.616
_cell_length_c 4.616
_cell_angle_alpha 60.00
_cell_angle_beta 60.00
_cell_angle_gamma 60.00
loop_
_symmetry_equiv_pos_as_xyz
'x,y,z'
loop_
_atom_site_label
_atom_site_fract_x
_atom_site_fract_y
_atom_site_fract_z
Lu1 0.000 0.000 0.000
Sc1 0.250 0.250 0.250
```

| no. | ΔE to the lowest computed polymorph (meV per atom) |
| --- | --- |
| 1 | 0 |
| 2 | 783 |
| 3 | 2012 |